1.
Compound: LiSi2Au
Source: the Alexandria database
Functional: PBEsol
Structure: relaxed

Cell and atoms, written as POSCAR:
```
LiSi2Au
1.0
2.743 0.000 0.000
0.000 4.915 0.028
0.000 -2.193 4.399
Si Au Li
2 1 1
Cartesian
0.000 2.458 0.014
0.000 -1.096 2.199
1.371 0.000 0.000
1.371 1.361 2.213
```

Results
D(E_F) = 1.49 states/eV per cell
Energy above the most stable polymorph in this dataset = 80.0 meV/atom
Magnetization = 0.00 μB per formula unit
Uncorrected formation energy = -0.04 eV/atom
Energy = -0.32223 Ry per atom

=====

2.
Compound: ReOs3N
Source: the Alexandria database
Functional: PBEsol
Structure: relaxed

Cell and atoms, written as POSCAR:
```
ReOs3N
1.0
-0.759 -2.245 -3.224
3.291 1.430 -1.770
2.146 -2.988 1.576
Re Os N
1 3 1
Cartesian
2.339 -1.901 -1.710
1.646 0.715 -0.885
1.073 -1.494 0.788
-0.379 -1.123 -1.612
0.000 0.000 0.000
```

Results
D(E_F) = 5.21 states/eV per cell
Energy above the most stable polymorph in this dataset = 0.0 meV/atom
Magnetization = 0.00 μB per formula unit
Uncorrected formation energy = 0.68 eV/atom
Energy = -0.81010 Ry per atom

=====

3.
Compound: ReBC2F
Source: the Alexandria database
Functional: PBEsol
Structure: relaxed

Cell and atoms, written as POSCAR:
```
ReBC2F
1.0
2.902 0.000 0.000
0.000 3.866 0.000
0.000 0.000 3.866
Re C B F
1 2 1 1
Cartesian
1.451 1.933 1.933
0.000 0.000 1.933
0.000 1.933 0.000
1.451 0.000 0.000
0.000 0.000 0.000
```

Results
D(E_F) = 1.78 states/eV per cell
Magnetization = 0.00 μB per formula unit
Uncorrected formation energy = 2.30 eV/atom
Energy = -0.44156 Ry per atom

=====

4.
Compound: BeAs2Se
Source: the Alexandria database
Functional: PBEsol
Structure: relaxed

Cell and atoms, written as POSCAR:
```
BeAs2Se
1.0
4.555 0.000 0.000
2.278 3.945 0.000
2.278 1.315 3.719
Be As Se
1 2 1
Cartesian
0.000 0.000 0.000
2.278 1.315 0.930
6.833 3.945 2.790
4.555 2.630 1.860
```

Results
D(E_F) = 1.50 states/eV per cell
Energy above the most stable polymorph in this dataset = 822.7 meV/atom
Magnetization = 0.00 μB per formula unit
Uncorrected formation energy = 0.61 eV/atom
Energy = -0.28725 Ry per atom

=====

5.
Compound: KCdAg2
Source: the Alexandria database
Functional: PBEsol
Structure: relaxed

Cell and atoms, written as POSCAR:
```
KCdAg2
1.0
3.481 0.000 0.000
0.000 3.481 0.000
0.000 0.000 7.785
Ag Cd K
2 1 1
Cartesian
0.000 0.000 6.353
0.000 0.000 1.432
1.740 1.740 0.000
1.740 1.740 3.893
```

Results
D(E_F) = 1.48 states/eV per cell
Energy above the most stable polymorph in this dataset = 0.0 meV/atom
Magnetization = 0.00 μB per formula unit
Energy = -0.15532 Ry per atom
Formation energy = 0.12 eV per atom

=====

6.
Compound: Cs3LiSi
Source: the Alexandria database
Functional: PBEsol
Structure: relaxed

Cell and atoms, written as POSCAR:
```
Cs3LiSi
1.0
7.092 0.000 0.000
0.000 7.092 0.000
0.000 0.000 7.092
Cs Si Li
3 1 1
Cartesian
0.000 3.546 0.000
0.000 0.000 3.546
3.546 0.000 0.000
0.000 0.000 0.000
3.546 3.546 3.546
```

Results
D(E_F) = 4.41 states/eV per cell
Magnetization = 2.01 μB per formula unit
Uncorrected formation energy = 0.43 eV/atom
Energy = -0.12319 Ry per atom

=====

7.
Compound: Y7Rh3
Source: the Alexandria database
Functional: PBEsol
Structure: relaxed

Cell and atoms, written as POSCAR:
```
Y7Rh3
1.0
6.085 0.000 0.000
0.000 9.682 0.000
0.000 -4.841 8.385
Y Rh
14 6
Cartesian
0.244 0.000 5.590
3.286 4.841 2.795
1.526 -3.043 7.347
1.526 0.000 2.076
1.526 3.043 7.347
4.569 7.884 1.038
4.569 4.841 6.309
4.569 1.798 1.038
0.330 3.016 3.849
0.330 4.841 0.688
0.330 6.666 3.849
3.372 1.825 4.536
3.372 0.000 7.697
3.372 -1.825 4.536
1.931 6.927 1.590
1.931 4.841 5.204
1.931 2.755 1.590
4.974 -2.086 6.794
4.974 0.000 3.181
4.974 2.086 6.794
```

Results
D(E_F) = 14.70 states/eV per cell
Magnetization = 0.00 μB per formula unit
Energy = -0.57254 Ry per atom
Formation energy = -0.57 eV per atom

=====

8.
Compound: CrCdNO2
Source: the Alexandria database
Functional: PBEsol
Structure: relaxed

Cell and atoms, written as POSCAR:
```
CrCdNO2
1.0
4.092 0.000 0.000
0.000 4.072 0.000
0.000 0.000 4.072
Cr N O Cd
1 1 2 1
Cartesian
2.046 2.036 2.036
2.046 0.000 0.000
0.000 0.000 2.036
0.000 2.036 0.000
0.000 0.000 0.000
```

Results
D(E_F) = 3.94 states/eV per cell
Magnetization = 2.34 μB per formula unit
Uncorrected formation energy = 0.95 eV/atom
Energy = -0.37810 Ry per atom